# 1
Density functional theory data (PBE) for a geometry-optimized GePtSeO structure.

The structure in CIF format:
```
data_GePtSeO
_chemical_formula_sum 'Ge2 Pt2 Se2 O2'
_cell_length_a 4.177
_cell_length_b 4.177
_cell_length_c 8.027
_cell_angle_alpha 90.00
_cell_angle_beta 90.00
_cell_angle_gamma 90.00
_symmetry_space_group_name_H-M 'P 1'
_symmetry_Int_Tables_number 1
_symmetry_space_group_name_Hall 'P 1'
loop_
_atom_site_label
_atom_site_fract_x
_atom_site_fract_y
_atom_site_fract_z
_atom_site_occupancy
Se1 0.250 0.250 0.316 1
Se2 0.750 0.750 0.684 1
Pt1 0.250 0.250 0.821 1
Pt2 0.750 0.750 0.179 1
Ge1 0.250 0.750 0.000 1
Ge2 0.750 0.250 0.000 1
O1 0.750 0.750 0.474 1
O2 0.250 0.250 0.526 1
```

Results
Size of the total moment ... 0.001 μB/f.u.
Theoretical density ... 8.60 g cm⁻³
Energy above the lowest structure with this stoichiometry ... 596 meV per atom

# 2
Density functional theory data (PBE) for a geometry-optimized GeTePtO structure.

The structure in CIF format:
```
data_GeTePtO
_chemical_formula_sum 'Ge2 Te2 Pt2 O2'
_cell_length_a 4.773
_cell_length_b 4.773
_cell_length_c 7.739
_cell_angle_alpha 90.00
_cell_angle_beta 90.00
_cell_angle_gamma 90.00
_symmetry_space_group_name_H-M 'P 1'
_symmetry_Int_Tables_number 1
_symmetry_space_group_name_Hall 'P 1'
loop_
_atom_site_label
_atom_site_fract_x
_atom_site_fract_y
_atom_site_fract_z
_atom_site_occupancy
Te1 0.250 0.750 0.500 1
Te2 0.750 0.250 0.500 1
O1 0.250 0.250 0.057 1
O2 0.750 0.750 0.943 1
Ge1 0.250 0.250 0.840 1
Ge2 0.750 0.750 0.160 1
Pt1 0.750 0.750 0.657 1
Pt2 0.250 0.250 0.343 1
```

Results
Size of the total moment ... 0.002 μB/f.u.
Theoretical density ... 7.75 g cm⁻³
Energy above the lowest structure with this stoichiometry ... 372 meV per atom

# 3
Density functional theory data (PBE) for a geometry-optimized GeTePtO structure.

The structure in CIF format:
```
data_GeTePtO
_chemical_formula_sum 'Ge8 Te8 Pt8 O8'
_cell_length_a 6.440
_cell_length_b 7.384
_cell_length_c 13.344
_cell_angle_alpha 90.00
_cell_angle_beta 90.00
_cell_angle_gamma 90.00
_symmetry_space_group_name_H-M 'P 1'
_symmetry_Int_Tables_number 1
_symmetry_space_group_name_Hall 'P 1'
loop_
_atom_site_label
_atom_site_fract_x
_atom_site_fract_y
_atom_site_fract_z
_atom_site_occupancy
Pt1 0.496 0.749 0.416 1
Pt2 0.996 0.751 0.584 1
Pt3 0.496 0.751 0.916 1
Pt4 0.504 0.249 0.084 1
Pt5 0.996 0.749 0.084 1
Pt6 0.504 0.251 0.584 1
Pt7 0.004 0.251 0.916 1
Pt8 0.004 0.249 0.416 1
O1 0.503 0.356 0.271 1
O2 0.003 0.356 0.229 1
O3 0.503 0.144 0.771 1
O4 0.997 0.644 0.771 1
O5 0.997 0.856 0.271 1
O6 0.497 0.644 0.729 1
O7 0.003 0.144 0.729 1
O8 0.497 0.856 0.229 1
Ge1 0.247 0.715 0.251 1
Ge2 0.747 0.785 0.749 1
Ge3 0.247 0.785 0.751 1
Ge4 0.253 0.285 0.751 1
Ge5 0.753 0.215 0.249 1
Ge6 0.753 0.285 0.749 1
Ge7 0.747 0.715 0.249 1
Ge8 0.253 0.215 0.251 1
Te1 0.750 0.000 0.498 1
Te2 0.250 0.000 0.502 1
Te3 0.750 0.500 0.998 1
Te4 0.250 0.500 0.502 1
Te5 0.750 0.500 0.498 1
Te6 0.750 0.000 0.998 1
Te7 0.250 0.000 0.002 1
Te8 0.250 0.500 0.002 1
```

Results
Size of the total moment ... 0.001 μB/f.u.
Theoretical density ... 8.61 g cm⁻³
Energy above the lowest structure with this stoichiometry ... 201 meV per atom

# 4
Density functional theory data (PBE) for a geometry-optimized GeTePtO structure.

The structure in CIF format:
```
data_GeTePtO
_chemical_formula_sum 'Ge2 Te2 Pt2 O2'
_cell_length_a 3.781
_cell_length_b 3.781
_cell_length_c 12.108
_cell_angle_alpha 90.00
_cell_angle_beta 90.00
_cell_angle_gamma 90.00
_symmetry_space_group_name_H-M 'P 1'
_symmetry_Int_Tables_number 1
_symmetry_space_group_name_Hall 'P 1'
loop_
_atom_site_label
_atom_site_fract_x
_atom_site_fract_y
_atom_site_fract_z
_atom_site_occupancy
Te1 0.750 0.750 0.839 1
Te2 0.250 0.250 0.161 1
O1 0.250 0.250 0.438 1
O2 0.750 0.750 0.562 1
Pt1 0.750 0.250 0.000 1
Pt2 0.250 0.750 0.000 1
Ge1 0.750 0.750 0.414 1
Ge2 0.250 0.250 0.586 1
```

Results
Size of the total moment ... 0.003 μB/f.u.
Theoretical density ... 7.89 g cm⁻³
Energy above the lowest structure with this stoichiometry ... 234 meV per atom

# 5
Density functional theory data (PBE) for a geometry-optimized GeTePtO structure.

The structure in CIF format:
```
data_GeTePtO
_chemical_formula_sum 'Ge4 Te4 Pt4 O4'
_cell_length_a 5.650
_cell_length_b 7.598
_cell_length_c 7.303
_cell_angle_alpha 90.00
_cell_angle_beta 90.00
_cell_angle_gamma 90.00
_symmetry_space_group_name_H-M 'P 1'
_symmetry_Int_Tables_number 1
_symmetry_space_group_name_Hall 'P 1'
loop_
_atom_site_label
_atom_site_fract_x
_atom_site_fract_y
_atom_site_fract_z
_atom_site_occupancy
O1 0.986 0.822 0.690 1
O2 0.014 0.322 0.810 1
O3 0.514 0.178 0.190 1
O4 0.486 0.678 0.310 1
Ge1 0.157 0.293 0.577 1
Ge2 0.657 0.207 0.423 1
Ge3 0.343 0.707 0.077 1
Ge4 0.843 0.793 0.923 1
Te1 0.023 0.973 0.283 1
Te2 0.977 0.473 0.217 1
Te3 0.523 0.527 0.717 1
Te4 0.477 0.027 0.783 1
Pt1 0.254 0.262 0.013 1
Pt2 0.746 0.762 0.487 1
Pt3 0.246 0.738 0.513 1
Pt4 0.754 0.238 0.987 1
```

Results
Size of the total moment ... 0.002 μB/f.u.
Theoretical density ... 8.71 g cm⁻³
Energy above the lowest structure with this stoichiometry ... 433 meV per atom

# 6
Density functional theory data (PBE) for a geometry-optimized GeTePtO structure.

The structure in CIF format:
```
data_GeTePtO
_chemical_formula_sum 'Ge8 Te8 Pt8 O8'
_cell_length_a 6.771
_cell_length_b 11.169
_cell_length_c 8.174
_cell_angle_alpha 90.00
_cell_angle_beta 90.00
_cell_angle_gamma 90.00
_symmetry_space_group_name_H-M 'P 1'
_symmetry_Int_Tables_number 1
_symmetry_space_group_name_Hall 'P 1'
loop_
_atom_site_label
_atom_site_fract_x
_atom_site_fract_y
_atom_site_fract_z
_atom_site_occupancy
Ge1 0.745 0.330 0.013 1
Ge2 0.245 0.330 0.487 1
Ge3 0.255 0.830 0.487 1
Ge4 0.245 0.170 0.987 1
Ge5 0.755 0.670 0.513 1
Ge6 0.755 0.830 0.013 1
Ge7 0.745 0.170 0.513 1
Ge8 0.255 0.670 0.987 1
Pt1 0.995 0.322 0.250 1
Pt2 0.995 0.178 0.750 1
Pt3 0.505 0.822 0.250 1
Pt4 0.495 0.178 0.750 1
Pt5 0.495 0.322 0.250 1
Pt6 0.505 0.678 0.750 1
Pt7 0.005 0.822 0.250 1
Pt8 0.005 0.678 0.750 1
Te1 0.999 0.572 0.251 1
Te2 0.999 0.928 0.751 1
Te3 0.499 0.572 0.249 1
Te4 0.001 0.428 0.749 1
Te5 0.501 0.428 0.751 1
Te6 0.499 0.928 0.749 1
Te7 0.001 0.072 0.249 1
Te8 0.501 0.072 0.251 1
O1 0.755 0.681 0.897 1
O2 0.745 0.181 0.897 1
O3 0.255 0.819 0.103 1
O4 0.255 0.681 0.603 1
O5 0.245 0.319 0.103 1
O6 0.245 0.181 0.603 1
O7 0.745 0.319 0.397 1
O8 0.755 0.819 0.397 1
```

Results
Size of the total moment ... 0.001 μB/f.u.
Theoretical density ... 8.84 g cm⁻³
Energy above the lowest structure with this stoichiometry ... 265 meV per atom

# 7
Density functional theory data (PBE) for a geometry-optimized GeTePtO structure.

The structure in CIF format:
```
data_GeTePtO
_chemical_formula_sum 'Ge4 Te4 Pt4 O4'
_cell_length_a 8.292
_cell_length_b 6.803
_cell_length_c 5.568
_cell_angle_alpha 90.00
_cell_angle_beta 90.00
_cell_angle_gamma 90.00
_symmetry_space_group_name_H-M 'P 1'
_symmetry_Int_Tables_number 1
_symmetry_space_group_name_Hall 'P 1'
loop_
_atom_site_label
_atom_site_fract_x
_atom_site_fract_y
_atom_site_fract_z
_atom_site_occupancy
Te1 0.078 0.652 0.005 1
Te2 0.578 0.348 0.005 1
Te3 0.922 0.348 0.505 1
Te4 0.422 0.652 0.505 1
Ge1 0.356 0.031 0.999 1
Ge2 0.644 0.969 0.499 1
Ge3 0.856 0.969 0.999 1
Ge4 0.144 0.031 0.499 1
O1 0.242 0.137 0.241 1
O2 0.742 0.863 0.241 1
O3 0.758 0.863 0.741 1
O4 0.258 0.137 0.741 1
Pt1 0.096 0.679 0.504 1
Pt2 0.904 0.321 0.004 1
Pt3 0.596 0.321 0.504 1
Pt4 0.404 0.679 0.004 1
```

Results
Size of the total moment ... 0.000 μB/f.u.
Theoretical density ... 8.70 g cm⁻³
Energy above the lowest structure with this stoichiometry ... 0 meV per atom

# 8
Density functional theory data (PBE) for a geometry-optimized GeTePtO structure.

The structure in CIF format:
```
data_GeTePtO
_chemical_formula_sum 'Ge2 Te2 Pt2 O2'
_cell_length_a 4.267
_cell_length_b 4.267
_cell_length_c 8.319
_cell_angle_alpha 90.00
_cell_angle_beta 90.00
_cell_angle_gamma 90.00
_symmetry_space_group_name_H-M 'P 1'
_symmetry_Int_Tables_number 1
_symmetry_space_group_name_Hall 'P 1'
loop_
_atom_site_label
_atom_site_fract_x
_atom_site_fract_y
_atom_site_fract_z
_atom_site_occupancy
O1 0.250 0.750 0.500 1
O2 0.750 0.250 0.500 1
Te1 0.250 0.250 0.176 1
Te2 0.750 0.750 0.824 1
Pt1 0.750 0.750 0.461 1
Pt2 0.250 0.250 0.539 1
Ge1 0.250 0.250 0.837 1
Ge2 0.750 0.750 0.163 1
```

Results
Size of the total moment ... 0.005 μB/f.u.
Theoretical density ... 9.02 g cm⁻³
Energy above the lowest structure with this stoichiometry ... 630 meV per atom

# 9
Density functional theory data (PBE) for a geometry-optimized GeTePtO structure.

The structure in CIF format:
```
data_GeTePtO
_chemical_formula_sum 'Ge2 Te2 Pt2 O2'
_cell_length_a 4.077
_cell_length_b 4.077
_cell_length_c 8.813
_cell_angle_alpha 90.00
_cell_angle_beta 90.00
_cell_angle_gamma 90.00
_symmetry_space_group_name_H-M 'P 1'
_symmetry_Int_Tables_number 1
_symmetry_space_group_name_Hall 'P 1'
loop_
_atom_site_label
_atom_site_fract_x
_atom_site_fract_y
_atom_site_fract_z
_atom_site_occupancy
Ge1 0.750 0.250 0.000 1
Ge2 0.250 0.750 0.000 1
O1 0.750 0.750 0.454 1
O2 0.250 0.250 0.546 1
Pt1 0.750 0.750 0.174 1
Pt2 0.250 0.250 0.826 1
Te1 0.750 0.750 0.667 1
Te2 0.250 0.250 0.333 1
```

Results
Size of the total moment ... 0.003 μB/f.u.
Theoretical density ... 9.33 g cm⁻³
Energy above the lowest structure with this stoichiometry ... 482 meV per atom

# 10
Density functional theory data (PBE) for a geometry-optimized GeTePtO structure.

The structure in CIF format:
```
data_GeTePtO
_chemical_formula_sum 'Ge4 Te4 Pt4 O4'
_cell_length_a 4.971
_cell_length_b 8.843
_cell_length_c 9.079
_cell_angle_alpha 90.00
_cell_angle_beta 90.00
_cell_angle_gamma 90.00
_symmetry_space_group_name_H-M 'P 1'
_symmetry_Int_Tables_number 1
_symmetry_space_group_name_Hall 'P 1'
loop_
_atom_site_label
_atom_site_fract_x
_atom_site_fract_y
_atom_site_fract_z
_atom_site_occupancy
O1 0.968 0.768 0.569 1
O2 0.532 0.232 0.069 1
O3 0.032 0.268 0.931 1
O4 0.468 0.732 0.431 1
Pt1 0.275 0.278 0.527 1
Pt2 0.225 0.722 0.027 1
Pt3 0.725 0.778 0.973 1
Pt4 0.775 0.222 0.473 1
Ge1 0.324 0.789 0.606 1
Ge2 0.824 0.711 0.394 1
Ge3 0.176 0.211 0.106 1
Ge4 0.676 0.289 0.894 1
Te1 0.531 0.080 0.685 1
Te2 0.469 0.580 0.815 1
Te3 0.031 0.420 0.315 1
Te4 0.969 0.920 0.185 1
```

Results
Size of the total moment ... 0.002 μB/f.u.
Theoretical density ... 6.85 g cm⁻³
Energy above the lowest structure with this stoichiometry ... 210 meV per atom

# 11
Density functional theory data (PBE) for a geometry-optimized GeTePtO structure.

The structure in CIF format:
```
data_GeTePtO
_chemical_formula_sum 'Ge4 Te4 Pt4 O4'
_cell_length_a 6.136
_cell_length_b 8.754
_cell_length_c 6.022
_cell_angle_alpha 90.00
_cell_angle_beta 90.00
_cell_angle_gamma 90.00
_symmetry_space_group_name_H-M 'P 1'
_symmetry_Int_Tables_number 1
_symmetry_space_group_name_Hall 'P 1'
loop_
_atom_site_label
_atom_site_fract_x
_atom_site_fract_y
_atom_site_fract_z
_atom_site_occupancy
Ge1 0.990 0.765 0.620 1
Ge2 0.510 0.765 0.120 1
Ge3 0.490 0.235 0.620 1
Ge4 0.010 0.235 0.120 1
Te1 0.605 0.376 0.161 1
Te2 0.105 0.624 0.161 1
Te3 0.895 0.376 0.661 1
Te4 0.395 0.624 0.661 1
O1 0.533 0.946 0.967 1
O2 0.033 0.054 0.967 1
O3 0.967 0.946 0.467 1
O4 0.467 0.054 0.467 1
Pt1 0.877 0.839 0.002 1
Pt2 0.377 0.161 0.002 1
Pt3 0.123 0.161 0.502 1
Pt4 0.623 0.839 0.502 1
```

Results
Size of the total moment ... 0.001 μB/f.u.
Theoretical density ... 8.45 g cm⁻³
Energy above the lowest structure with this stoichiometry ... 431 meV per atom

# 12
Density functional theory data (PBE) for a geometry-optimized ReSnGe2O6 structure.

The structure in CIF format:
```
data_ReSnGe2O6
_chemical_formula_sum 'Re1 Sn1 Ge2 O6'
_cell_length_a 5.633
_cell_length_b 5.633
_cell_length_c 5.633
_cell_angle_alpha 60.00
_cell_angle_beta 60.00
_cell_angle_gamma 60.00
_symmetry_space_group_name_H-M 'P 1'
_symmetry_Int_Tables_number 1
_symmetry_space_group_name_Hall 'P 1'
loop_
_atom_site_label
_atom_site_fract_x
_atom_site_fract_y
_atom_site_fract_z
_atom_site_occupancy
Re1 0.000 0.000 0.000 1
O1 0.246 0.246 0.754 1
O2 0.246 0.754 0.754 1
O3 0.754 0.246 0.754 1
O4 0.246 0.754 0.246 1
O5 0.754 0.246 0.246 1
O6 0.754 0.754 0.246 1
Ge1 0.750 0.750 0.750 1
Ge2 0.250 0.250 0.250 1
Sn1 0.500 0.500 0.500 1
```

Results
Size of the total moment ... 2.638 μB/f.u.
Theoretical density ... 7.18 g cm⁻³
DFT total energy ... -6.40 eV/atom